! CdIn4Sn (PBE-GGA, relaxed); values from VASP
! * space group: P2_1/m
! * electronic total energy: -15.24 eV per formula unit
! * distance to the lowest polymorph of the same formula: 0.0748 eV/atom
! * ΔE_f: 0.106 eV/atom
! * magnetic moment: 0.00 μB per formula unit
&SYSTEM
  ibrav = 0, nat = 12, ntyp = 3
/
ATOMIC_SPECIES
Cd 112.41 Cd.upf
In 114.82 In.upf
Sn 118.71 Sn.upf
CELL_PARAMETERS angstrom
-0.669 -3.401 5.167
6.342 -0.479 -3.619
3.263 6.699 4.832
ATOMIC_POSITIONS angstrom
Cd 5.696 4.713 1.862
Cd 3.240 -1.894 4.519
In 5.243 3.062 4.456
In 3.693 -0.243 1.925
In 2.365 4.044 5.039
In 6.571 -1.225 1.342
In 4.113 -3.384 1.955
In 3.208 2.887 2.034
In 5.728 -0.067 4.347
In 4.823 6.203 4.426
Sn 8.153 2.045 3.903
Sn 0.783 0.775 2.478

! Cd2In12Sn5 (PBE-GGA, relaxed); values from VASP
! * space group: C2/m
! * electronic total energy: -53.95 eV per formula unit
! * distance to the lowest polymorph of the same formula: 0.0000 eV/atom
! * ΔE_f: 0.040 eV/atom
! * magnetic moment: 0.00 μB per formula unit
&SYSTEM
  ibrav = 0, nat = 19, ntyp = 3
/
ATOMIC_SPECIES
Cd 112.41 Cd.upf
In 114.82 In.upf
Sn 118.71 Sn.upf
CELL_PARAMETERS angstrom
4.282 0.035 1.005
0.265 10.465 7.477
-0.893 1.762 12.712
ATOMIC_POSITIONS angstrom
Cd -0.590 4.037 11.343
Cd -0.038 8.190 8.845
In -0.149 11.040 18.322
In 0.963 5.838 4.980
In 0.390 1.531 7.570
In 2.582 7.092 7.488
In 2.017 2.842 10.045
In 0.147 5.043 8.417
In 3.507 7.219 12.777
In 1.072 5.169 13.705
In 1.637 9.420 11.149
In 2.692 6.424 16.214
In 3.265 10.731 13.623
In 3.803 1.221 2.872
Sn 1.165 2.431 4.299
Sn 2.826 3.744 6.849
Sn 2.141 0.017 0.502
Sn 0.828 8.518 14.345
Sn 2.490 9.831 16.895

! CdIn2Sn (PBE-GGA, relaxed); values from VASP
! * space group: R-3m
! * electronic total energy: -10.20 eV per formula unit
! * distance to the lowest polymorph of the same formula: 0.0262 eV/atom
! * ΔE_f: 0.049 eV/atom
! * magnetic moment: 0.00 μB per formula unit
&SYSTEM
  ibrav = 0, nat = 4, ntyp = 3
/
ATOMIC_SPECIES
Cd 112.41 Cd.upf
Sn 118.71 Sn.upf
In 114.82 In.upf
CELL_PARAMETERS angstrom
3.232 0.000 0.000
1.616 2.799 0.000
1.616 0.933 11.688
ATOMIC_POSITIONS angstrom
Cd 3.232 1.866 5.844
Sn 0.000 0.000 0.000
In 1.616 0.933 8.563
In 4.849 2.799 3.125

! CdIn2Sn (PBE-GGA, relaxed); values from VASP
! * space group: R3m
! * electronic total energy: -10.06 eV per formula unit
! * distance to the lowest polymorph of the same formula: 0.0608 eV/atom
! * ΔE_f: 0.084 eV/atom
! * magnetic moment: 0.00 μB per formula unit
&SYSTEM
  ibrav = 0, nat = 4, ntyp = 3
/
ATOMIC_SPECIES
Cd 112.41 Cd.upf
In 114.82 In.upf
Sn 118.71 Sn.upf
CELL_PARAMETERS angstrom
4.565 0.000 0.000
2.283 3.953 0.000
2.283 1.318 6.362
ATOMIC_POSITIONS angstrom
Cd 6.848 3.953 6.323
In 2.283 1.318 4.869
In 2.283 1.318 1.550
Sn 4.565 2.636 3.163

! Cd6In12Sn (PBE-GGA, relaxed); values from VASP
! * space group: R-3
! * electronic total energy: -41.20 eV per formula unit
! * distance to the lowest polymorph of the same formula: 0.0000 eV/atom
! * ΔE_f: 0.061 eV/atom
! * magnetic moment: 0.00 μB per formula unit
&SYSTEM
  ibrav = 0, nat = 19, ntyp = 3
/
ATOMIC_SPECIES
Cd 112.41 Cd.upf
In 114.82 In.upf
Sn 118.71 Sn.upf
CELL_PARAMETERS angstrom
-0.324 6.741 -4.856
-7.518 -3.413 -0.980
-0.337 3.170 7.678
ATOMIC_POSITIONS angstrom
Cd -6.698 3.855 0.050
Cd -2.260 2.475 -1.075
Cd -3.366 0.528 0.884
Cd -1.481 2.643 1.792
Cd -5.919 4.023 2.917
Cd -4.813 5.971 0.958
In -3.977 5.008 -1.848
In -6.469 1.006 1.204
In -3.002 4.670 3.673
In -4.202 1.490 3.690
In -1.710 5.492 0.638
In -5.177 1.828 -1.830
In -6.828 4.484 -3.013
In -5.205 -1.180 -0.987
In -0.659 4.898 -2.244
In -1.351 2.015 4.855
In -2.974 7.679 2.829
In -7.520 1.600 4.086
Sn 0.000 0.000 0.000

! CdIn2Sn (PBE-GGA, relaxed); values from VASP
! * space group: P4/mmm
! * electronic total energy: -10.30 eV per formula unit
! * distance to the lowest polymorph of the same formula: 0.0000 eV/atom
! * ΔE_f: 0.023 eV/atom
! * magnetic moment: 0.00 μB per formula unit
&SYSTEM
  ibrav = 0, nat = 4, ntyp = 3
/
ATOMIC_SPECIES
Cd 112.41 Cd.upf
Sn 118.71 Sn.upf
In 114.82 In.upf
CELL_PARAMETERS angstrom
-1.718 -1.108 -2.739
2.860 -1.421 -1.218
-1.954 -7.636 4.316
ATOMIC_POSITIONS angstrom
Cd 0.571 -1.265 -1.979
Sn -0.406 -5.083 0.179
In -1.479 -5.778 3.266
In -0.475 -1.858 1.050

! Cd3In2Sn3 (PBE-GGA, relaxed); values from VASP
! * space group: R32
! * electronic total energy: -19.67 eV per formula unit
! * ΔE_f: 0.070 eV/atom
! * magnetic moment: 0.00 μB per formula unit
&SYSTEM
  ibrav = 0, nat = 8, ntyp = 3
/
ATOMIC_SPECIES
Cd 112.41 Cd.upf
In 114.82 In.upf
Sn 118.71 Sn.upf
CELL_PARAMETERS angstrom
6.068 0.762 -0.769
0.769 6.067 -0.769
-0.763 -0.762 6.068
ATOMIC_POSITIONS angstrom
Cd 2.018 4.816 -0.769
Cd 0.001 1.251 1.250
Cd 4.054 0.000 4.049
In 1.244 1.243 4.059
In 4.829 4.824 0.470
Sn 1.721 4.351 2.265
Sn 3.035 1.716 0.949
Sn 4.354 3.033 3.581

! CdIn4Sn5 (PBE-GGA, relaxed); values from VASP
! * space group: Immm
! * electronic total energy: -31.18 eV per formula unit
! * ΔE_f: 0.070 eV/atom
! * magnetic moment: 0.00 μB per formula unit
&SYSTEM
  ibrav = 0, nat = 10, ntyp = 3
/
ATOMIC_SPECIES
Cd 112.41 Cd.upf
In 114.82 In.upf
Sn 118.71 Sn.upf
CELL_PARAMETERS angstrom
-3.775 -1.226 3.672
3.226 -3.752 6.045
-0.422 5.610 5.419
ATOMIC_POSITIONS angstrom
Cd -0.944 -0.306 0.918
In -0.157 2.201 6.544
In -1.809 -0.440 3.964
In -1.049 0.460 13.007
In 1.073 -0.955 6.755
Sn -0.459 2.386 10.276
Sn -3.666 0.883 6.478
Sn -1.429 0.010 8.486
Sn 0.808 -0.863 10.494
Sn -2.399 -2.366 6.695

| no. | D(E_F) (states/eV/f.u.) |
| --- | --- |
| 1 | 2.7 |
| 2 | 5.3 |
| 3 | 2.0 |
| 4 | 1.9 |
| 5 | 8.0 |
| 6 | 2.1 |
| 7 | 3.2 |
| 8 | 4.7 |